1.
RbScP2S | PBE | relaxed

Cell lengths 5.158, 5.158, 5.304 Å; angles 90.00, 90.00, 90.00 degrees
Space group P4/mmm (No. 123)
One atom of each set of equivalent atoms:
Rb: 0.000 0.000 0.000
Sc: 0.500 0.500 0.500
P: 0.000 0.500 0.000
S: 0.000 0.000 0.500

Calculated values
The density of states at the Fermi level comes out at 7.0 states/eV/cell. As for the crystal system: tetragonal. The calculation puts the excess energy over the best structure of this formula in the dataset at 1.699 eV per atom. The value obtained for the raw formation energy is 1392 meV per atom.

---

2.
MgZn3Ag3 | PBE | relaxed

Cell lengths 5.409, 7.017, 7.509 Å; angles 112.98, 105.40, 101.49 degrees
Space group P-1 (No. 2)
One atom of each set of equivalent atoms:
Mg: 0.167 0.167 0.335
Zn: 0.141 0.731 0.998
Zn: 0.251 0.625 0.629
Zn: 0.380 0.004 0.631
Ag: 0.091 0.296 0.725
Ag: 0.329 0.133 0.001
Ag: 0.369 0.572 0.274

Calculated values
The density of states at the Fermi level comes out at 3.0 states/eV/cell. As for the crystal system: triclinic. The calculation puts the excess energy over the best structure of this formula in the dataset at 0.036 eV per atom.

---

So what do the calculations give for spin magnetization? Going down the list: 0.33 0.00 Bohr magnetons per cell.